The following is a PBE calculation of a relaxed structure of Be2TcSe, from Alexandria via LeMat-Bulk.

Cell and atoms, written as POSCAR:
```
Be2TcSe
1.0
3.186 0.000 0.000
0.000 4.396 0.000
0.000 0.000 7.810
Be Tc Se
4 2 2
direct
0.000 0.000 0.215
0.000 0.000 0.785
0.500 0.500 0.215
0.500 0.500 0.785
0.000 0.500 0.000
0.500 0.000 0.000
0.000 0.500 0.500
0.500 0.000 0.500
```

## Properties
DOS(E_F) (states/eV per atom): 0.329
E_form (uncorrected) (meV per atom): 333